The following is a PBE calculation of a relaxed structure of LaCe2Ga4, from the Alexandria database.

The structure in POSCAR format:
```
LaCe2Ga4
1.0
4.113 0.000 -0.938
-0.226 4.245 -0.992
0.097 0.077 9.915
Ga Ce La
4 2 1
Direct
0.643 0.643 0.286
0.357 0.357 0.714
0.067 0.567 0.134
0.933 0.433 0.866
0.811 0.811 0.623
0.189 0.189 0.377
0.500 0.000 0.000
```

Summary:
The energy is -4.6876 eV/atom. The calculation puts the density of states at the Fermi level at 11.71 states/eV/f.u. The formation energy is -559 meV per atom.

The following is a PBE calculation of a relaxed structure of LaCe2Ga, from the Alexandria database.

The structure in POSCAR format:
```
LaCe2Ga
1.0
4.522 0.000 0.000
2.261 3.916 0.000
2.261 1.305 6.730
La Ce Ga
1 2 1
Direct
0.477 0.477 0.570
0.076 0.076 0.771
0.271 0.271 0.186
0.676 0.676 0.973
```

Summary:
The energy is -4.9361 eV/atom. The calculation puts the density of states at the Fermi level at 10.06 states/eV/f.u. The formation energy is 19 meV per atom. For the energy above the most stable polymorph in this dataset, the calculation gives 301.7 meV per atom.